This record from the Alexandria database describes a relaxed Pr2VBr crystal. The functional is GGA-PBE.

## Properties
- Energy relative to the elements, uncorrected: 115 meV/atom
- Size of the total moment: 8.9 μB per cell
- DOS(E_F): 1.1732 states/eV per atom

Cell lengths 3.4790, 3.4790, 32.1447 Å; angles 90.00, 90.00, 120.00 degrees
With the nearest neighbours (Å) after each atom.
Space group R-3m (No. 166, hexagonal axes)
Asymmetric unit:
Pr: 0.0000 0.0000 0.0892  1 V 2.87, 3 Br 3.20
V: 0.0000 0.0000 0.0000  2 Pr 2.87
Br: 0.0000 0.0000 0.5000  6 Pr 3.20, 6 Br 3.48